The following is a GGA+U calculation of a relaxed structure of VCd2BiO6, from Alexandria via LeMat-Bulk.

```
VCd2BiO6
1.0
-4.442 0.595 5.768
-3.161 -4.961 -4.329
2.885 -4.151 2.650
V O Cd Bi
2 12 4 2
direct
0.831 0.169 0.484
0.169 0.831 0.984
0.068 0.616 0.128
0.932 0.384 0.628
0.650 0.659 0.722
0.616 0.068 0.628
0.384 0.932 0.128
0.659 0.650 0.222
0.205 0.795 0.683
0.341 0.350 0.722
0.795 0.205 0.183
0.350 0.341 0.222
0.021 0.979 0.001
0.979 0.021 0.501
0.684 0.908 0.978
0.092 0.316 0.978
0.908 0.684 0.478
0.316 0.092 0.478
0.595 0.405 0.965
0.405 0.595 0.465
```

## Properties
Energy above the lowest structure with this stoichiometry ... 0.000 eV/atom
Crystal system ... orthorhombic
Magnetic moment ... 0.00 μB per formula unit